one | # InRe2I (PBE, relaxed)
# Mass density = 14.21 Mg/m³
# Spin magnetization = 0.00 μB per atom
# Crystal system = cubic
# V = 17.939 A^3/atom
# Space group = No. 225
data_InRe2I
_space_group_name_H-M_alt 'P 1'
_space_group_IT_number 1
_cell_length_a 4.664
_cell_length_b 4.664
_cell_length_c 4.664
_cell_angle_alpha 60.00
_cell_angle_beta 60.00
_cell_angle_gamma 60.00
loop_
_space_group_symop_operation_xyz
'x,y,z'
loop_
_atom_site_label
_atom_site_type_symbol
_atom_site_fract_x
_atom_site_fract_y
_atom_site_fract_z
In1 In 0.000 0.000 0.000
Re1 Re 0.250 0.250 0.250
Re2 Re 0.750 0.750 0.750
I1 I 0.500 0.500 0.500



two | # InRe2I (PBE, relaxed)
# Mass density = 9.87 Mg/m³
# Spin magnetization = 0.00 μB per atom
# Crystal system = tetragonal
# V = 25.836 A^3/atom
# Space group = No. 122
data_InRe2I
_space_group_name_H-M_alt 'P 1'
_space_group_IT_number 1
_cell_length_a 6.691
_cell_length_b 6.691
_cell_length_c 6.691
_cell_angle_alpha 121.53
_cell_angle_beta 121.53
_cell_angle_gamma 87.37
loop_
_space_group_symop_operation_xyz
'x,y,z'
loop_
_atom_site_label
_atom_site_type_symbol
_atom_site_fract_x
_atom_site_fract_y
_atom_site_fract_z
In1 In 0.000 0.000 0.000
In2 In 0.750 0.250 0.500
Re1 Re 0.144 0.625 0.019
Re2 Re 0.375 0.394 0.519
Re3 Re 0.606 0.125 0.981
Re4 Re 0.875 0.856 0.481
I1 I 0.250 0.750 0.500
I2 I 0.500 0.500 0.000



one ends up most stable, edging out the next structure by 812 meV/atom.



one | # In3ReI (PBE, relaxed)
# Mass density = 4.63 Mg/m³
# Spin magnetization = 0.82 μB per atom
# Crystal system = cubic
# V = 47.155 A^3/atom
# Space group = No. 221
data_In3ReI
_space_group_name_H-M_alt 'P 1'
_space_group_IT_number 1
_cell_length_a 6.178
_cell_length_b 6.178
_cell_length_c 6.178
_cell_angle_alpha 90.00
_cell_angle_beta 90.00
_cell_angle_gamma 90.00
loop_
_space_group_symop_operation_xyz
'x,y,z'
loop_
_atom_site_label
_atom_site_type_symbol
_atom_site_fract_x
_atom_site_fract_y
_atom_site_fract_z
In1 In 0.000 0.000 0.500
In2 In 0.000 0.500 0.000
In3 In 0.500 0.000 0.000
Re1 Re 0.500 0.500 0.500
I1 I 0.000 0.000 0.000



two | # In3ReI (PBE, relaxed)
# Mass density = 7.09 Mg/m³
# Spin magnetization = 0.19 μB per atom
# Crystal system = cubic
# V = 30.817 A^3/atom
# Space group = No. 221
data_In3ReI
_space_group_name_H-M_alt 'P 1'
_space_group_IT_number 1
_cell_length_a 5.361
_cell_length_b 5.361
_cell_length_c 5.361
_cell_angle_alpha 90.00
_cell_angle_beta 90.00
_cell_angle_gamma 90.00
loop_
_space_group_symop_operation_xyz
'x,y,z'
loop_
_atom_site_label
_atom_site_type_symbol
_atom_site_fract_x
_atom_site_fract_y
_atom_site_fract_z
In1 In 0.000 0.000 0.500
In2 In 0.000 0.500 0.000
In3 In 0.500 0.000 0.000
Re1 Re 0.000 0.000 0.000
I1 I 0.500 0.500 0.500



two ends up most stable, edging out the next structure by 1287 meV/atom.